Entry 1:
# CaNd7Y3 (PBE-GGA, relaxed)
data_CaNd7Y3
_cell_length_a 7.2647
_cell_length_b 7.2647
_cell_length_c 8.8140
_cell_angle_alpha 90.00
_cell_angle_beta 90.00
_cell_angle_gamma 120.00
_space_group_name_H-M_alt 'P 3 m 1'
_space_group_IT_number 156
loop_
_space_group_symop_operation_xyz
'x,y,z'
'-y,x-y,z'
'-x+y,-x,z'
'-y,-x,z'
'-x+y,y,z'
'x,x-y,z'
loop_
_atom_site_label
_atom_site_type_symbol
_atom_site_fract_x
_atom_site_fract_y
_atom_site_fract_z
_atom_site_occupancy
Ca1 Ca 0.0000 0.0000 0.0000 1
Nd1 Nd 0.0033 0.5017 0.0091 1
Nd2 Nd 0.3333 0.6667 0.6809 1
Nd3 Nd 0.3378 0.1689 0.6623 1
Y1 Y 0.1687 0.3374 0.3426 1
# Magnetic moment, Bohr magnetons per cell: 0.00
# Energy of formation from the pure elements, kcal/mol of atoms: 4.802
# Polymorph energy (0 for the lowest one), meV/atom: 0.0
# Final energy, eV/atom: -4.77

---

Entry 2:
# CaNdY3 (PBE-GGA, relaxed)
data_CaNdY3
_cell_length_a 5.483
_cell_length_b 11.481
_cell_length_c 11.188
_cell_angle_alpha 90.00
_cell_angle_beta 90.00
_cell_angle_gamma 90.00
_space_group_name_H-M_alt 'C m m m'
_space_group_IT_number 65
_space_group_name_Hall '-C 2 2'
loop_
_atom_site_label
_atom_site_type_symbol
_atom_site_fract_x
_atom_site_fract_y
_atom_site_fract_z
_atom_site_occupancy
Ca1 Ca 0.000 0.156 0.000 1
Nd1 Nd 0.000 0.366 0.500 1
Y1 Y 0.000 0.152 0.308 1
Y2 Y 0.000 0.500 0.184 1
# Magnetic moment, Bohr magnetons per cell: 0.02
# Energy of formation from the pure elements, kcal/mol of atoms: 4.730
# Final energy, eV/atom: -5.03